Record 1
# Rb5MgI8 PBE relaxed
data_Rb5MgI8
_symmetry_space_group_name_H-M 'I -4'
_symmetry_Int_Tables_number 82
_cell_length_a 10.7588
_cell_length_b 10.7588
_cell_length_c 12.1049
_cell_angle_alpha 90.00
_cell_angle_beta 90.00
_cell_angle_gamma 90.00
loop_
_symmetry_equiv_pos_as_xyz
'x,y,z'
'y,-x,-z'
'-x,-y,z'
'-y,x,-z'
'x+1/2,y+1/2,z+1/2'
'y+1/2,-x+1/2,-z+1/2'
'-x+1/2,-y+1/2,z+1/2'
'-y+1/2,x+1/2,-z+1/2'
loop_
_atom_site_label
_atom_site_type_symbol
_atom_site_fract_x
_atom_site_fract_y
_atom_site_fract_z
Rb1 Rb 0.0000 0.0000 0.0000
Rb2 Rb 0.1367 0.7341 0.3813
Mg1 Mg 0.0000 0.5000 0.7500
I1 I 0.0539 0.7471 0.6896
I2 I 0.0964 0.6866 0.0792
# formation energy without anion corrections	-1.19	eV per atom
# N(E_F)	16.35	states/eV/f.u.
# uncorrected energy	-2.535	eV per atom

---

Record 2
# PaInTe2N PBE relaxed
data_PaInTe2N
_symmetry_space_group_name_H-M 'P 4/n m m'
_symmetry_Int_Tables_number 129
_cell_length_a 4.0183
_cell_length_b 4.0183
_cell_length_c 16.7658
_cell_angle_alpha 90.00
_cell_angle_beta 90.00
_cell_angle_gamma 90.00
loop_
_symmetry_equiv_pos_as_xyz
'x,y,z'
'-x,-y,-z'
'-y+1/2,x,z'
'y+1/2,-x,-z'
'-x+1/2,-y+1/2,z'
'x+1/2,y+1/2,-z'
'y,-x+1/2,z'
'-y,x+1/2,-z'
'x+1/2,-y,-z'
'-x+1/2,y,z'
'-y,-x,-z'
'y,x,z'
'-x,y+1/2,-z'
'x,-y+1/2,z'
'y+1/2,x+1/2,-z'
'-y+1/2,-x+1/2,z'
loop_
_atom_site_label
_atom_site_type_symbol
_atom_site_fract_x
_atom_site_fract_y
_atom_site_fract_z
Pa1 Pa 0.2500 0.2500 0.0682
In1 In 0.2500 0.2500 0.6501
Te1 Te 0.2500 0.2500 0.3996
Te2 Te 0.2500 0.2500 0.8288
N1 N 0.2500 0.7500 0.0000
# formation energy without anion corrections	-1.00	eV per atom
# N(E_F)	3.48	states/eV/f.u.
# uncorrected energy	-6.366	eV per atom

---

Record 3
# RbLaMn2Pt PBE relaxed
data_RbLaMn2Pt
_symmetry_space_group_name_H-M 'P 4/m m m'
_symmetry_Int_Tables_number 123
_symmetry_space_group_name_Hall '-P 4 2'
_cell_length_a 4.7454
_cell_length_b 4.7454
_cell_length_c 5.5953
_cell_angle_alpha 90.00
_cell_angle_beta 90.00
_cell_angle_gamma 90.00
loop_
_atom_site_label
_atom_site_type_symbol
_atom_site_fract_x
_atom_site_fract_y
_atom_site_fract_z
Rb1 Rb 0.0000 0.0000 0.0000
La1 La 0.0000 0.0000 0.5000
Mn1 Mn 0.0000 0.5000 0.0000
Pt1 Pt 0.5000 0.5000 0.5000
# formation energy from the elements	1829	meV per atom
# N(E_F)	3.62	states/eV/f.u.
# uncorrected energy	-4.226	eV per atom

---

Record 4
# La2In2Se PBE relaxed
data_La2In2Se
_symmetry_space_group_name_H-M 'P 4/m b m'
_symmetry_Int_Tables_number 127
_symmetry_space_group_name_Hall '-P 4 2ab'
_cell_length_a 7.9487
_cell_length_b 7.9487
_cell_length_c 5.1953
_cell_angle_alpha 90.00
_cell_angle_beta 90.00
_cell_angle_gamma 90.00
loop_
_atom_site_label
_atom_site_type_symbol
_atom_site_fract_x
_atom_site_fract_y
_atom_site_fract_z
La1 La 0.1678 0.3322 0.0000
In1 In 0.1353 0.6353 0.5000
Se1 Se 0.0000 0.0000 0.0000
# formation energy without anion corrections	-0.79	eV per atom
# N(E_F)	3.60	states/eV/f.u.
# uncorrected energy	-4.555	eV per atom

---

Record 5
# DyGaSn2Rh4 PBE relaxed
data_DyGaSn2Rh4
_symmetry_space_group_name_H-M 'R -3 m'
_symmetry_Int_Tables_number 166
_symmetry_space_group_name_Hall '-R 3 2"'
_cell_length_a 4.5563
_cell_length_b 4.5563
_cell_length_c 23.0973
_cell_angle_alpha 90.00
_cell_angle_beta 90.00
_cell_angle_gamma 120.00
loop_
_atom_site_label
_atom_site_type_symbol
_atom_site_fract_x
_atom_site_fract_y
_atom_site_fract_z
Dy1 Dy 0.0000 0.0000 0.0000
Ga1 Ga 0.0000 0.0000 0.5000
Sn1 Sn 0.0000 0.0000 0.2509
Rh1 Rh 0.0000 0.0000 0.1310
Rh2 Rh 0.0000 0.0000 0.3934
# formation energy from the elements	-657	meV per atom
# N(E_F)	5.79	states/eV/f.u.
# uncorrected energy	-6.287	eV per atom

---

Record 6
# LiEr3Pd4 PBE relaxed
data_LiEr3Pd4
_symmetry_space_group_name_H-M 'R -3 m'
_symmetry_Int_Tables_number 166
_symmetry_space_group_name_Hall '-R 3 2"'
_cell_length_a 4.8385
_cell_length_b 4.8385
_cell_length_c 23.3241
_cell_angle_alpha 90.00
_cell_angle_beta 90.00
_cell_angle_gamma 120.00
loop_
_atom_site_label
_atom_site_type_symbol
_atom_site_fract_x
_atom_site_fract_y
_atom_site_fract_z
Li1 Li 0.0000 0.0000 0.0000
Er1 Er 0.0000 0.0000 0.2572
Er2 Er 0.0000 0.0000 0.5000
Pd1 Pd 0.0000 0.0000 0.1256
Pd2 Pd 0.0000 0.0000 0.3785
# formation energy from the elements	-824	meV per atom
# N(E_F)	4.23	states/eV/f.u.
# uncorrected energy	-5.370	eV per atom

---

Record 7
# BaErHg PBE relaxed
data_BaErHg
_symmetry_space_group_name_H-M 'I 4 m m'
_symmetry_Int_Tables_number 107
_symmetry_space_group_name_Hall 'I 4 -2'
_cell_length_a 3.9402
_cell_length_b 3.9402
_cell_length_c 13.7154
_cell_angle_alpha 90.00
_cell_angle_beta 90.00
_cell_angle_gamma 90.00
loop_
_atom_site_label
_atom_site_type_symbol
_atom_site_fract_x
_atom_site_fract_y
_atom_site_fract_z
Ba1 Ba 0.0000 0.0000 0.0000
Er1 Er 0.0000 0.0000 0.2741
Hg1 Hg 0.0000 0.0000 0.6810
# formation energy from the elements	-244	meV per atom
# N(E_F)	2.47	states/eV/f.u.
# uncorrected energy	-2.506	eV per atom

---

Record 8
# MnGaIBr4 PBE relaxed
data_MnGaIBr4
_symmetry_space_group_name_H-M 'C 1 2/m 1'
_symmetry_Int_Tables_number 12
_cell_length_a 16.4239
_cell_length_b 7.7341
_cell_length_c 10.3534
_cell_angle_alpha 90.00
_cell_angle_beta 98.81
_cell_angle_gamma 90.00
loop_
_symmetry_equiv_pos_as_xyz
'x,y,z'
'-x,-y,-z'
'-x,y,-z'
'x,-y,z'
'x+1/2,y+1/2,z'
'-x+1/2,-y+1/2,-z'
'-x+1/2,y+1/2,-z'
'x+1/2,-y+1/2,z'
loop_
_atom_site_label
_atom_site_type_symbol
_atom_site_fract_x
_atom_site_fract_y
_atom_site_fract_z
Mn1 Mn 0.0930 0.0000 0.1024
Ga1 Ga 0.1224 0.5000 0.2755
I1 I 0.0604 0.0000 0.8363
Br1 Br 0.0173 0.5000 0.7918
Br2 Br 0.1743 0.5000 0.4941
Br3 Br 0.1876 0.2560 0.1733
# formation energy without anion corrections	-0.70	eV per atom
# N(E_F)	0.00	states/eV/f.u.
# uncorrected energy	-3.619	eV per atom

---

Number 1: total magnetic moment 1.08 μB/f.u.. Number 2: total magnetic moment 0.38 μB/f.u.. Number 3: total magnetic moment 7.15 μB/f.u.. Number 4: total magnetic moment 0.00 μB/f.u.. Number 5: total magnetic moment 0.00 μB/f.u.. Number 6: total magnetic moment 0.00 μB/f.u.. Number 7: total magnetic moment 0.00 μB/f.u.. Number 8: total magnetic moment 5.00 μB/f.u..